Record 1
A plane-wave DFT calculation with PBE was carried out for a relaxed Tb2ErTh3S6 crystal.

abc: 6.7424 6.7424 7.1057
angles: 99.07 99.07 119.67
Last column: nearest neighbours and their distance in Å.
Fractional positions:
1 Tb 0.1664 0.8336 0.0000  6 S 2.76
2 Tb 0.8336 0.1664 0.0000  6 S 2.76
3 Er 0.5000 0.5000 0.0000  6 S 2.72-2.73
4 Th 0.0000 0.0000 0.5000  6 S 2.88-2.90
5 Th 0.3317 0.6683 0.5000  6 S 2.87-2.89
6 Th 0.6683 0.3317 0.5000  6 S 2.87-2.89
7 S 0.0928 0.4226 0.7674  1 Er 2.72, 2 Tb 2.76, 3 Th 2.87-2.89
8 S 0.2486 0.2486 0.2348  1 Er 2.73, 2 Tb 2.76, 3 Th 2.88-2.90
9 S 0.4226 0.0928 0.7674  1 Er 2.72, 2 Tb 2.76, 3 Th 2.87-2.89
10 S 0.5774 0.9072 0.2326  1 Er 2.72, 2 Tb 2.76, 3 Th 2.87-2.89
11 S 0.7514 0.7514 0.7652  1 Er 2.73, 2 Tb 2.76, 3 Th 2.88-2.90
12 S 0.9072 0.5774 0.2326  1 Er 2.72, 2 Tb 2.76, 3 Th 2.87-2.89

Properties
**Formation energy without anion corrections**: -184 kJ per mole of atoms
**M_tot**: 0.00 μB per formula unit
**SG**: C2/m (12)
**Fermi-level density of states**: 0.59 states/eV/atom


Record 2
A plane-wave DFT calculation with PBE was carried out for a relaxed TbEr2Th3S6 crystal.

abc: 6.7099 6.7099 7.1202
angles: 99.01 99.01 119.72
Last column: nearest neighbours and their distance in Å.
Fractional positions:
1 Tb 0.0000 0.0000 0.0000  6 S 2.75
2 Er 0.3332 0.6668 0.0000  6 S 2.72
3 Er 0.6668 0.3332 0.0000  6 S 2.72
4 Th 0.1653 0.8347 0.5000  6 S 2.88-2.89
5 Th 0.5000 0.5000 0.5000  6 S 2.87-2.89
6 Th 0.8347 0.1653 0.5000  6 S 2.88-2.89
7 S 0.0772 0.4141 0.2317  2 Er 2.72, 1 Tb 2.75, 3 Th 2.88-2.89
8 S 0.2602 0.2602 0.7699  2 Er 2.72, 1 Tb 2.75, 3 Th 2.87-2.89
9 S 0.4141 0.0772 0.2317  2 Er 2.72, 1 Tb 2.75, 3 Th 2.88-2.89
10 S 0.5859 0.9228 0.7683  2 Er 2.72, 1 Tb 2.75, 3 Th 2.88-2.89
11 S 0.7398 0.7398 0.2301  2 Er 2.72, 1 Tb 2.75, 3 Th 2.87-2.89
12 S 0.9228 0.5859 0.7683  2 Er 2.72, 1 Tb 2.75, 3 Th 2.88-2.89

Properties
**Formation energy without anion corrections**: -183 kJ per mole of atoms
**M_tot**: 0.00 μB per formula unit
**SG**: C2/m (12)
**Fermi-level density of states**: 0.60 states/eV/atom


Record 3
A plane-wave DFT calculation with PBE was carried out for a relaxed TbErTh2S4 crystal.

abc: 6.7421 3.9281 7.0610
angles: 90.00 108.82 90.00
Last column: nearest neighbours and their distance in Å.
Fractional positions:
1 Tb 0.0000 0.0000 0.0000  6 S 2.75-2.76
2 Er 0.5000 0.5000 0.0000  6 S 2.73
3 Th 0.0000 0.5000 0.5000  6 S 2.89
4 Th 0.5000 0.0000 0.5000  6 S 2.87
5 S 0.2476 0.5000 0.2338  1 Er 2.73, 2 Tb 2.76, 3 Th 2.87-2.89
6 S 0.2585 0.0000 0.7679  2 Er 2.73, 1 Tb 2.75, 3 Th 2.87-2.89
7 S 0.7415 0.0000 0.2321  2 Er 2.73, 1 Tb 2.75, 3 Th 2.87-2.89
8 S 0.7524 0.5000 0.7662  1 Er 2.73, 2 Tb 2.76, 3 Th 2.87-2.89

Properties
**Formation energy without anion corrections**: -183 kJ per mole of atoms
**M_tot**: 0.00 μB per formula unit
**SG**: P2/m (10)
**Fermi-level density of states**: 0.61 states/eV/atom


Record 4
A plane-wave DFT calculation with PBE was carried out for a relaxed TbErTlS crystal.

abc: 6.5632 3.7899 8.3830
angles: 90.00 105.03 90.00
Last column: nearest neighbours and their distance in Å.
Fractional positions:
1 Tb 0.0000 0.0000 0.0000  3 S 2.74-2.75
2 Tb 0.5000 0.5000 0.0000  3 S 2.74-2.75
3 Er 0.2983 0.5000 0.3955  3 S 2.68
4 Er 0.7983 0.0000 0.3955  3 S 2.68
5 Tl 0.2313 0.0000 0.6949  3 Er 3.26-3.27, 3 Tb 3.30
6 Tl 0.7313 0.5000 0.6949  3 Er 3.26-3.27, 3 Tb 3.30
7 S 0.4015 0.0000 0.2048  3 Er 2.68, 3 Tb 2.74-2.75
8 S 0.9015 0.5000 0.2048  3 Er 2.68, 3 Tb 2.74-2.75

Properties
**Formation energy without anion corrections**: -110 kJ per mole of atoms
**M_tot**: 0.00 μB per formula unit
**SG**: Cm (8)
**Fermi-level density of states**: 0.69 states/eV/atom


Record 5
A plane-wave DFT calculation with PBE was carried out for a relaxed Tb2Er3TmS6 crystal.

abc: 8.6690 8.6690 7.7920
angles: 103.12 103.12 25.81
Last column: nearest neighbours and their distance in Å.
Fractional positions:
1 Tb 0.1674 0.1674 0.3350  6 S 2.76-2.78
2 Tb 0.8326 0.8326 0.6650  6 S 2.76-2.78
3 Er 0.1681 0.1681 0.8326  6 S 2.72-2.74
4 Er 0.5000 0.5000 0.5000  6 S 2.71-2.76
5 Er 0.8319 0.8319 0.1674  6 S 2.72-2.74
6 Tm 0.5000 0.5000 0.0000  6 S 2.72-2.74
7 S 0.0017 0.0017 0.7527  3 Er 2.73-2.76, 2 Tm 2.74, 1 Tb 2.78
8 S 0.3351 0.3351 0.4133  3 Er 2.71-2.72, 3 Tb 2.76
9 S 0.3346 0.3346 0.9217  1 Tm 2.72, 3 Er 2.73-2.74, 2 Tb 2.78
10 S 0.6654 0.6654 0.0783  1 Tm 2.72, 3 Er 2.73-2.74, 2 Tb 2.78
11 S 0.6649 0.6649 0.5867  3 Er 2.71-2.72, 3 Tb 2.76
12 S 0.9983 0.9983 0.2473  3 Er 2.73-2.76, 2 Tm 2.74, 1 Tb 2.78

Properties
**Formation energy without anion corrections**: -190 kJ per mole of atoms
**M_tot**: 0.03 μB per formula unit
**SG**: C2/m (12)
**Fermi-level density of states**: 0.43 states/eV/atom


Record 6
A plane-wave DFT calculation with PBE was carried out for a relaxed TbErTm2S6 crystal.

abc: 7.2951 7.2951 7.2951
angles: 56.00 56.00 56.00
Last column: nearest neighbours and their distance in Å.
Fractional positions:
1 Tb 0.0000 0.0000 0.0000  6 S 2.72-2.81
2 Er 0.4984 0.4984 0.4984  6 S 2.70-2.76
3 Tm 0.2986 0.2986 0.2986  6 S 2.68-2.75
4 Tm 0.7996 0.7996 0.7996  6 S 2.68-2.75
5 S 0.0937 0.4068 0.6931  2 Tm 2.68-2.75, 1 Tb 2.72, 1 Er 2.76
6 S 0.1986 0.9013 0.5923  2 Tm 2.68-2.75, 1 Er 2.70, 1 Tb 2.81
7 S 0.4068 0.6931 0.0937  2 Tm 2.68-2.75, 1 Tb 2.72, 1 Er 2.76
8 S 0.5923 0.1986 0.9013  2 Tm 2.68-2.75, 1 Er 2.70, 1 Tb 2.81
9 S 0.6931 0.0937 0.4068  2 Tm 2.68-2.75, 1 Tb 2.72, 1 Er 2.76
10 S 0.9013 0.5923 0.1986  2 Tm 2.68-2.75, 1 Er 2.70, 1 Tb 2.81

Properties
**Formation energy without anion corrections**: -199 kJ per mole of atoms
**M_tot**: 0.00 μB per formula unit
**SG**: R3 (146)
**Fermi-level density of states**: 0.00 states/eV/atom


Record 7
A plane-wave DFT calculation with PBE was carried out for a relaxed Tb2ErTmS4 crystal.

abc: 6.7293 3.8510 6.7933
angles: 90.00 108.99 90.00
Last column: nearest neighbours and their distance in Å.
Fractional positions:
1 Tb 0.0000 0.0000 0.0000  6 S 2.78
2 Tb 0.5000 0.5000 0.0000  6 S 2.77-2.78
3 Er 0.0000 0.5000 0.5000  6 S 2.73
4 Tm 0.5000 0.0000 0.5000  6 S 2.72
5 S 0.2486 0.0000 0.7429  1 Tm 2.72, 2 Er 2.73, 3 Tb 2.77-2.78
6 S 0.2537 0.5000 0.2578  2 Tm 2.72, 1 Er 2.73, 3 Tb 2.78
7 S 0.7463 0.5000 0.7422  2 Tm 2.72, 1 Er 2.73, 3 Tb 2.78
8 S 0.7514 0.0000 0.2571  1 Tm 2.72, 2 Er 2.73, 3 Tb 2.77-2.78

Properties
**Formation energy without anion corrections**: -191 kJ per mole of atoms
**M_tot**: 0.00 μB per formula unit
**SG**: P2/m (10)
**Fermi-level density of states**: 0.58 states/eV/atom


Record 8
A plane-wave DFT calculation with PBE was carried out for a relaxed TbErTm4S8 crystal.

abc: 7.9661 7.9661 7.9661
angles: 59.95 59.95 59.95
Last column: nearest neighbours and their distance in Å.
Fractional positions:
1 Tb 0.0000 0.0000 0.0000  4 S 2.62
2 Er 0.3750 0.3750 0.3750  6 S 2.73-2.74
3 Tm 0.3750 0.3750 0.8737  6 S 2.72-2.73
4 Tm 0.3750 0.8737 0.3750  6 S 2.72-2.73
5 Tm 0.7496 0.7496 0.7496  4 S 2.58
6 Tm 0.8737 0.3750 0.3750  6 S 2.72-2.73
7 S 0.1329 0.1329 0.5975  1 Tb 2.62, 2 Tm 2.72, 1 Er 2.73
8 S 0.1329 0.5975 0.1329  1 Tb 2.62, 2 Tm 2.72, 1 Er 2.73
9 S 0.1343 0.1343 0.1343  1 Tb 2.62, 3 Tm 2.72
10 S 0.1461 0.6183 0.6183  3 Tm 2.58-2.73, 1 Er 2.74
11 S 0.5975 0.1329 0.1329  1 Tb 2.62, 2 Tm 2.72, 1 Er 2.73
12 S 0.6173 0.6173 0.6173  4 Tm 2.58-2.73
13 S 0.6183 0.1461 0.6183  3 Tm 2.58-2.73, 1 Er 2.74
14 S 0.6183 0.6183 0.1461  3 Tm 2.58-2.73, 1 Er 2.74

Properties
**Formation energy without anion corrections**: -185 kJ per mole of atoms
**M_tot**: 0.00 μB per formula unit
**SG**: R3m (160)
**Fermi-level density of states**: 0.59 states/eV/atom